# Sr2LaTe (meta-GGA SCAN, single point on PBEsol structure)
data_Sr2LaTe
_space_group_name_H-M_alt 'P 1'
_space_group_IT_number 1
_cell_length_a 5.789
_cell_length_b 5.789
_cell_length_c 5.789
_cell_angle_alpha 60.00
_cell_angle_beta 60.00
_cell_angle_gamma 60.00
loop_
_space_group_symop_operation_xyz
'x,y,z'
loop_
_atom_site_label
_atom_site_type_symbol
_atom_site_fract_x
_atom_site_fract_y
_atom_site_fract_z
Sr1 Sr 0.000 0.000 0.000
Sr2 Sr 0.250 0.250 0.250
La1 La 0.500 0.500 0.500
Te1 Te 0.750 0.750 0.750
# crystal system	cubic
# calculated volume	34.3	A^3/atom
# D(E_F)	3.22	states/eV per cell
# energy relative to the elements, uncorrected	-0.264	eV/atom